1.
HgOs | GGA-PBE | optimized geometry

Calculated values
magnetization: 0.00 μB per cell
DOS(E_F): 13.14 states/eV per cell
energy of formation from the pure elements: 1.016 eV per atom

The structure in POSCAR format:
```
HgOs
1.0
9.203 0.000 0.000
0.000 9.203 0.000
0.000 0.000 4.285
Hg Os
8 8
Direct
0.000 0.257 0.000 Hg
0.000 0.743 0.000 Hg
0.243 0.500 0.500 Hg
0.257 0.000 0.000 Hg
0.500 0.243 0.500 Hg
0.500 0.757 0.500 Hg
0.743 0.000 0.000 Hg
0.757 0.500 0.500 Hg
0.205 0.205 0.500 Os
0.205 0.795 0.500 Os
0.295 0.295 0.000 Os
0.295 0.705 0.000 Os
0.705 0.295 0.000 Os
0.705 0.705 0.000 Os
0.795 0.205 0.500 Os
0.795 0.795 0.500 Os
```

2.
Hg3Os | GGA-PBE | optimized geometry

Calculated values
magnetization: 0.00 μB per cell
DOS(E_F): 8.51 states/eV per cell
energy of formation from the pure elements: 0.965 eV per atom

The structure in POSCAR format:
```
Hg3Os
1.0
6.797 0.000 0.000
0.000 6.797 0.000
0.000 0.000 6.797
Hg Os
12 4
Direct
0.000 0.000 0.000 Hg
0.000 0.500 0.500 Hg
0.250 0.250 0.250 Hg
0.250 0.250 0.750 Hg
0.250 0.750 0.250 Hg
0.250 0.750 0.750 Hg
0.500 0.000 0.500 Hg
0.500 0.500 0.000 Hg
0.750 0.250 0.250 Hg
0.750 0.250 0.750 Hg
0.750 0.750 0.250 Hg
0.750 0.750 0.750 Hg
0.000 0.000 0.500 Os
0.000 0.500 0.000 Os
0.500 0.000 0.000 Os
0.500 0.500 0.500 Os
```

3.
Hg2Os | GGA-PBE | optimized geometry

Calculated values
magnetization: 0.00 μB per cell
DOS(E_F): 4.76 states/eV per cell
energy of formation from the pure elements: 0.776 eV per atom

The structure in POSCAR format:
```
Hg2Os
1.0
2.887 0.000 0.000
-1.443 2.500 0.000
0.000 0.000 16.642
Hg Os
4 2
Direct
0.000 0.000 0.000 Hg
0.000 0.000 0.295 Hg
0.000 0.000 0.705 Hg
0.667 0.333 0.500 Hg
0.667 0.333 0.143 Os
0.667 0.333 0.857 Os
```

Question: What is the magnetization in the first record?
Answer: 0.00 μB per cell